An optimized crystal structure of HfBi3B. Source: the Alexandria database, functional GGA-PBE.

Results
- Volume: 35.5 A^3/atom
- E_tot: -4.397 eV per atom
- E_form: 1.258 eV per atom
- Crystal system: cubic

a b c (Å): 5.6200 5.6200 5.6200
angles (deg): 90.00 90.00 90.00
Last column: nearest neighbours and their distance in Å.
Space group Pm-3m (No. 221)
One atom of each set of equivalent atoms:
Hf 0.0000 0.0000 0.0000 x1  6 Bi 2.81
Bi 0.0000 0.0000 0.5000 x3  2 Hf 2.81
B 0.5000 0.5000 0.5000 x1  12 Bi 3.97